Material: LiPrCdGa
Method: DFT, PBE-GGA
State: optimized geometry

Cell and atoms, written as POSCAR:
```
LiPrCdGa
1.0
-3.611 -3.387 0.179
0.981 -4.585 1.602
-1.753 -1.523 4.377
Ga Pr Cd Li
1 1 1 1
direct
0.250 0.250 0.250
0.500 0.500 0.500
0.000 0.000 0.000
0.750 0.750 0.750
```

DOS at the Fermi energy (states/eV/f.u.): 1.5
Volume (Å³/atom): 21.501
DFT formation energy (meV/atom): -359
Size of the total moment (μB per formula unit): 0.00